Record 1
Cs2PaBr5F: relaxed, PBE-GGA.

Geometry as extended XYZ:
```
9
Lattice="-3.738 3.745 5.977 -3.374 -6.575 -3.017 6.881 -3.715 1.605" Properties=species:S:1:pos:R:3 pbc="T T T"
Br 4.348 -4.347 0.483
Br 0.717 -5.792 1.994
Br -0.887 -5.807 -1.876
Br -0.995 -0.617 2.589
Br 0.870 -2.553 -0.350
Cs 2.423 -2.484 3.448
Cs -2.705 -3.914 1.137
Pa 3.477 -10.205 -1.400
F 2.808 -8.239 -1.131
```

Summary:
- size of the total moment (Bohr magnetons per cell) = 1.00
- formation energy from raw total energies (eV per formula unit) = -17.9
- SG = I4mm

=====

Record 2
Ho2ZrAg: relaxed, PBE-GGA.

Geometry as extended XYZ:
```
4
Lattice="-2.141 -0.919 -2.518 1.234 -1.377 -2.889 -1.112 -10.011 2.251" Properties=species:S:1:pos:R:3 pbc="T T T"
Ho -0.497 -2.987 -0.831
Ho -0.917 -7.789 1.276
Zr -1.010 -6.157 -1.573
Ag -1.716 -11.537 -1.354
```

Summary:
- energy of formation (meV/atom) = 18
- Fermi-level density of states (states/eV per cell) = 4.673
- size of the total moment (Bohr magnetons per cell) = 0.00
- SG = R3m

=====

Record 3
LiCoPt2Se: relaxed, PBE-GGA.

Geometry as extended XYZ:
```
5
Lattice="-0.222 -3.557 -3.102 3.820 1.180 -1.627 2.189 -2.829 3.087" Properties=species:S:1:pos:R:3 pbc="T T T"
Se 0.000 0.000 0.000
Co 2.893 -2.603 -0.821
Pt 1.094 -1.414 1.543
Pt -0.111 -1.778 -1.551
Li 1.910 0.590 -0.814
```

Summary:
- Fermi-level density of states (states/eV per cell) = 3.303
- size of the total moment (Bohr magnetons per cell) = 2.07
- formation energy from raw total energies (eV per formula unit) = 2.8
- SG = P4/mmm

=====

Record 4
KRe: relaxed, PBE-GGA.

Geometry as extended XYZ:
```
6
Lattice="-6.385 -7.914 -0.618 -6.351 -7.137 -3.537 3.333 -4.905 -1.268" Properties=species:S:1:pos:R:3 pbc="T T T"
Re -6.407 -13.517 -3.673
Re -8.379 -10.615 -2.924
Re -0.244 -4.046 -1.080
K -3.056 -5.826 -1.587
K -0.285 -0.565 -0.154
K -2.002 -8.666 -2.331
```

Summary:
- energy of formation (meV/atom) = 1072
- Fermi-level density of states (states/eV per cell) = 7.526
- size of the total moment (Bohr magnetons per cell) = 0.01
- SG = Cm